Computed, not measured: TaCu2Ag after structural relaxation at the GGA-PBE level of DFT.

```
4
Lattice="4.8514 -1.3611 0.0000 4.8514 1.3611 0.0000 -1.3356 0.0000 4.5508" Properties=species:S:1:pos:R:3 pbc="T T T"
Ta 0.0000 0.0000 0.0000
Cu 3.8527 0.0000 2.1724
Cu 7.0638 0.0000 0.8194
Ag 1.2473 0.0000 3.0224
```

Properties
The calculation puts the energy above the most stable polymorph in this dataset at 10.6 kJ/mol of atoms. As for the density: 11.49 g cm⁻³. The value obtained for the final energy is -5.486 eV/atom. Its crystal system is monoclinic. Its symmetry is Cm, No. 8.

***

Computed, not measured: TaCu2Ag after structural relaxation at the GGA-PBE level of DFT.

```
4
Lattice="1.4114 0.8149 8.9036 -1.4114 0.8149 8.9036 0.0000 -1.6297 8.9036" Properties=species:S:1:pos:R:3 pbc="T T T"
Ta 0.0000 0.0000 0.0000
Cu 0.0000 0.0000 6.6611
Cu 0.0000 0.0000 13.6324
Ag 0.0000 0.0000 20.3311
```

Properties
The calculation puts the energy above the most stable polymorph in this dataset at 8.8 kJ/mol of atoms. As for the density: 11.24 g cm⁻³. The value obtained for the final energy is -5.505 eV/atom. Its crystal system is trigonal. Its symmetry is R3m, No. 160.

***

Computed, not measured: TaCuAg after structural relaxation at the GGA-PBE level of DFT.

```
3
Lattice="4.5031 0.0000 0.0000 -2.2515 3.8998 0.0000 0.0000 0.0000 2.7026" Properties=species:S:1:pos:R:3 pbc="T T T"
Ta 0.0000 0.0000 0.0000
Cu 0.0000 2.5998 1.3548
Ag 2.2515 1.2999 1.3486
```

Properties
The calculation puts the energy above the most stable polymorph in this dataset at 18.2 kJ/mol of atoms. As for the density: 12.33 g cm⁻³. The value obtained for the final energy is -6.005 eV/atom. Its crystal system is trigonal. Its symmetry is P3m1, No. 156.

***

Computed, not measured: TaCu2Ag after structural relaxation at the GGA-PBE level of DFT.

```
4
Lattice="2.7420 0.0000 0.0000 0.0000 4.6480 0.0000 0.0000 0.0000 4.8951" Properties=species:S:1:pos:R:3 pbc="T T T"
Ta 0.0000 0.0000 0.0000
Cu 0.0000 2.3240 2.4475
Cu 1.3710 2.3240 0.0000
Ag 1.3710 0.0000 2.4475
```

Properties
The calculation puts the energy above the most stable polymorph in this dataset at 26.3 kJ/mol of atoms. As for the density: 11.07 g cm⁻³. The value obtained for the final energy is -5.323 eV/atom. Its crystal system is orthorhombic. Its symmetry is Pmmm, No. 47.

***

Computed, not measured: TaCu2Ag after structural relaxation at the GGA-PBE level of DFT.

```
4
Lattice="4.7190 0.0000 0.0000 0.0000 4.7190 0.0000 0.0000 0.0000 2.7324" Properties=species:S:1:pos:R:3 pbc="T T T"
Ta 0.0000 0.0000 0.0000
Cu 0.0000 2.3595 1.3662
Cu 2.3595 0.0000 1.3662
Ag 2.3595 2.3595 0.0000
```

Properties
The calculation puts the energy above the most stable polymorph in this dataset at 13.4 kJ/mol of atoms. As for the density: 11.35 g cm⁻³. The value obtained for the final energy is -5.458 eV/atom. Its crystal system is tetragonal. Its symmetry is P4/mmm, No. 123.

***

Computed, not measured: TaCu2Ag after structural relaxation at the GGA-PBE level of DFT.

```
4
Lattice="0.0000 3.0880 3.0880 3.0880 0.0000 3.0880 3.0880 3.0880 0.0000" Properties=species:S:1:pos:R:3 pbc="T T T"
Ta 0.0000 0.0000 0.0000
Cu 1.5440 1.5440 1.5440
Cu 4.6321 4.6321 4.6321
Ag 3.0880 3.0880 3.0880
```

Properties
The calculation puts the energy above the most stable polymorph in this dataset at 10.0 kJ/mol of atoms. As for the density: 11.73 g cm⁻³. The value obtained for the final energy is -5.492 eV/atom. Its crystal system is cubic. Its symmetry is Fm-3m, No. 225.

***

Computed, not measured: Ta2Cu2Ag after structural relaxation at the GGA-PBE level of DFT.

```
10
Lattice="7.2926 0.0000 0.0000 0.0000 7.2926 0.0000 0.0000 0.0000 2.9666" Properties=species:S:1:pos:R:3 pbc="T T T"
Ta 1.2571 2.3892 0.0000
Ta 2.3892 6.0355 0.0000
Ta 4.9035 1.2571 0.0000
Ta 6.0355 4.9035 0.0000
Cu 0.8927 4.5391 1.4833
Cu 2.7536 0.8927 1.4833
Cu 4.5391 6.3999 1.4833
Cu 6.3999 2.7536 1.4833
Ag 0.0000 0.0000 1.4833
Ag 3.6463 3.6463 1.4833
```

Properties
As for the density: 12.56 g cm⁻³. The value obtained for the final energy is -6.667 eV/atom. Its crystal system is tetragonal. Its symmetry is P4/mbm, No. 127.

***

Computed, not measured: TaCu2Ag after structural relaxation at the GGA-PBE level of DFT.

```
4
Lattice="1.4127 0.8156 8.9281 -1.4127 0.8156 8.9281 0.0000 -1.6312 8.9281" Properties=species:S:1:pos:R:3 pbc="T T T"
Ta 0.0000 0.0000 0.0000
Cu 0.0000 0.0000 6.6913
Cu 0.0000 0.0000 20.0930
Ag 0.0000 0.0000 13.3922
```

Properties
The calculation puts the energy above the most stable polymorph in this dataset at 5.8 kJ/mol of atoms. As for the density: 11.19 g cm⁻³. The value obtained for the final energy is -5.536 eV/atom. Its crystal system is trigonal. Its symmetry is R-3m, No. 166.